1.
# RbNdUS4, relaxed, DFT PBE
# Energy relative to the elements, uncorrected = -1.578 eV/atom
# Energy = -6.368 eV/atom
data_RbNdUS4
_chemical_formula_sum 'Rb4 Nd4 U4 S16'
_cell_length_a 8.435
_cell_length_b 8.763
_cell_length_c 12.069
_cell_angle_alpha 90.00
_cell_angle_beta 90.00
_cell_angle_gamma 90.00
_space_group_name_H-M_alt 'I m m a'
_space_group_IT_number 74
_space_group_name_Hall '-I 2b 2'
loop_
_atom_site_label
_atom_site_type_symbol
_atom_site_fract_x
_atom_site_fract_y
_atom_site_fract_z
Rb1 Rb 0.000 0.250 0.131
Nd1 Nd 0.000 0.000 0.500
U1 U 0.250 0.250 0.750
S1 S 0.000 0.052 0.736
S2 S 0.216 0.250 0.528

=====

2.
# Na2BiPtC, relaxed, DFT PBE
# Energy = -2.933 eV/atom
# Energy of formation = 1424 meV per atom
data_Na2BiPtC
_chemical_formula_sum 'Na2 Bi1 Pt1 C1'
_cell_length_a 6.072
_cell_length_b 6.072
_cell_length_c 4.254
_cell_angle_alpha 90.00
_cell_angle_beta 90.00
_cell_angle_gamma 90.00
_space_group_name_H-M_alt 'P 4/m m m'
_space_group_IT_number 123
_space_group_name_Hall '-P 4 2'
loop_
_atom_site_label
_atom_site_type_symbol
_atom_site_fract_x
_atom_site_fract_y
_atom_site_fract_z
Na1 Na 0.000 0.500 0.000
Bi1 Bi 0.000 0.000 0.000
Pt1 Pt 0.500 0.500 0.500
C1 C 0.000 0.000 0.500

=====

3.
# ErLuAgAu, relaxed, DFT PBE
# Energy = -4.416 eV/atom
# Energy of formation = -613 meV per atom
data_ErLuAgAu
_chemical_formula_sum 'Er4 Lu4 Ag4 Au4'
_cell_length_a 7.126
_cell_length_b 7.126
_cell_length_c 7.126
_cell_angle_alpha 90.00
_cell_angle_beta 90.00
_cell_angle_gamma 90.00
_space_group_name_H-M_alt 'F -4 3 m'
_space_group_IT_number 216
_space_group_name_Hall 'F -4 2 3'
loop_
_atom_site_label
_atom_site_type_symbol
_atom_site_fract_x
_atom_site_fract_y
_atom_site_fract_z
Er1 Er 0.000 0.000 0.000
Lu1 Lu 0.000 0.000 0.500
Ag1 Ag 0.250 0.250 0.250
Au1 Au 0.250 0.250 0.750

=====

4.
# SrZr2Bi, relaxed, DFT PBE
# Energy = -5.330 eV/atom
# Energy of formation = 335 meV per atom
# Offset from the most stable computed form = 0.0 kJ/mol of formula units
data_SrZr2Bi
_chemical_formula_sum 'Sr4 Zr8 Bi4'
_cell_length_a 7.481
_cell_length_b 7.481
_cell_length_c 7.481
_cell_angle_alpha 90.00
_cell_angle_beta 90.00
_cell_angle_gamma 90.00
_space_group_name_H-M_alt 'F m -3 m'
_space_group_IT_number 225
_space_group_name_Hall '-F 4 2 3'
loop_
_atom_site_label
_atom_site_type_symbol
_atom_site_fract_x
_atom_site_fract_y
_atom_site_fract_z
Sr1 Sr 0.000 0.000 0.000
Zr1 Zr 0.250 0.250 0.250
Bi1 Bi 0.000 0.000 0.500

=====

5.
# Y2Ga4Rh, relaxed, DFT PBE
# Energy = -4.994 eV/atom
# Energy of formation = -367 meV per atom
data_Y2Ga4Rh
_chemical_formula_sum 'Y4 Ga8 Rh2'
_cell_length_a 4.634
_cell_length_b 4.634
_cell_length_c 14.940
_cell_angle_alpha 90.00
_cell_angle_beta 90.00
_cell_angle_gamma 90.00
_space_group_name_H-M_alt 'I 4/m m m'
_space_group_IT_number 139
_space_group_name_Hall '-I 4 2'
loop_
_atom_site_label
_atom_site_type_symbol
_atom_site_fract_x
_atom_site_fract_y
_atom_site_fract_z
Y1 Y 0.000 0.000 0.142
Ga1 Ga 0.000 0.000 0.333
Ga2 Ga 0.000 0.500 0.000
Rh1 Rh 0.000 0.000 0.500

=====

6.
# CdPAu3, relaxed, DFT PBE
# Energy = -3.032 eV/atom
# Energy of formation = 200 meV per atom
# Offset from the most stable computed form = 0.0 kJ/mol of formula units
data_CdPAu3
_chemical_formula_sum 'Cd1 P1 Au3'
_cell_length_a 4.802
_cell_length_b 4.802
_cell_length_c 4.802
_cell_angle_alpha 90.00
_cell_angle_beta 90.00
_cell_angle_gamma 90.00
_space_group_name_H-M_alt 'P m -3 m'
_space_group_IT_number 221
_space_group_name_Hall '-P 4 2 3'
loop_
_atom_site_label
_atom_site_type_symbol
_atom_site_fract_x
_atom_site_fract_y
_atom_site_fract_z
Cd1 Cd 0.000 0.000 0.000
P1 P 0.500 0.500 0.500
Au1 Au 0.000 0.500 0.500

=====

Calculated magnetic moment (μB/cell), listed in the same order as above: 8.0, 0.2, 0.0, 0.0, 0.0, 0.0